# Y2TlW | Alexandria | PBE | relaxed
# formation energy	0.326	eV/atom
# total moment	0.000	μB per atom
# Fermi-level density of states	3.8	states/eV/f.u.
# ΔE to the lowest computed polymorph	121.8	meV/atom
# calculated total energy	-6.736	eV per atom
data_Y2TlW
_chemical_formula_sum 'Y2 Tl1 W1'
_cell_length_a 6.043
_cell_length_b 6.043
_cell_length_c 5.507
_cell_angle_alpha 74.13
_cell_angle_beta 74.13
_cell_angle_gamma 30.70
_symmetry_space_group_name_H-M 'P 1'
_symmetry_Int_Tables_number 1
loop_
_symmetry_equiv_pos_as_xyz
'x,y,z'
loop_
_atom_site_label
_atom_site_type_symbol
_atom_site_fract_x
_atom_site_fract_y
_atom_site_fract_z
_atom_site_occupancy
Y1 Y 0.231 0.231 0.298 1
Tl1 Tl 0.470 0.470 0.475 1
Y2 Y 0.031 0.031 0.943 1
W1 W 0.768 0.768 0.783 1

=====

# PmNi2PH | Alexandria | PBE | relaxed
# total moment	0.000	μB per atom
# Fermi-level density of states	2.1	states/eV/f.u.
# calculated total energy	-5.806	eV per atom
data_PmNi2PH
_chemical_formula_sum 'Pm2 Ni4 P2 H2'
_cell_length_a 3.762
_cell_length_b 5.459
_cell_length_c 6.650
_cell_angle_alpha 90.00
_cell_angle_beta 90.00
_cell_angle_gamma 110.16
_symmetry_space_group_name_H-M 'P 1'
_symmetry_Int_Tables_number 1
loop_
_symmetry_equiv_pos_as_xyz
'x,y,z'
loop_
_atom_site_label
_atom_site_type_symbol
_atom_site_fract_x
_atom_site_fract_y
_atom_site_fract_z
_atom_site_occupancy
H1 H 0.000 0.000 0.500 1
Pm1 Pm 0.442 0.885 0.750 1
Pm2 Pm 0.558 0.115 0.250 1
Ni1 Ni 0.169 0.338 0.940 1
Ni2 Ni 0.169 0.338 0.560 1
P1 P 0.276 0.552 0.250 1
P2 P 0.724 0.448 0.750 1
H2 H 0.000 0.000 0.000 1
Ni3 Ni 0.831 0.662 0.060 1
Ni4 Ni 0.831 0.662 0.440 1

=====

# Ho5In4 | Alexandria | PBE | relaxed
# formation energy	-0.428	eV/atom
# total moment	0.000	μB per atom
# Fermi-level density of states	6.4	states/eV/f.u.
# calculated total energy	-4.189	eV per atom
data_Ho5In4
_chemical_formula_sum 'Ho10 In8'
_cell_length_a 6.613
_cell_length_b 9.264
_cell_length_c 9.264
_cell_angle_alpha 120.00
_cell_angle_beta 90.00
_cell_angle_gamma 90.00
_symmetry_space_group_name_H-M 'P 1'
_symmetry_Int_Tables_number 1
loop_
_symmetry_equiv_pos_as_xyz
'x,y,z'
loop_
_atom_site_label
_atom_site_type_symbol
_atom_site_fract_x
_atom_site_fract_y
_atom_site_fract_z
_atom_site_occupancy
In1 In 0.250 0.629 0.629 1
In2 In 0.500 0.000 0.000 1
In3 In 0.250 0.371 0.000 1
In4 In 0.000 0.000 0.000 1
Ho1 Ho 0.250 0.291 0.291 1
In5 In 0.750 0.629 0.000 1
Ho2 Ho 0.250 0.000 0.709 1
Ho3 Ho 0.750 0.000 0.291 1
In6 In 0.250 0.000 0.371 1
Ho4 Ho 0.000 0.333 0.667 1
Ho5 Ho 0.750 0.291 0.000 1
Ho6 Ho 0.750 0.709 0.709 1
Ho7 Ho 0.500 0.333 0.667 1
Ho8 Ho 0.000 0.667 0.333 1
Ho9 Ho 0.250 0.709 0.000 1
Ho10 Ho 0.500 0.667 0.333 1
In7 In 0.750 0.000 0.629 1
In8 In 0.750 0.371 0.371 1

=====

# MnAuCl2 | Alexandria | PBE | relaxed
# formation energy without anion corrections	-0.332	eV/atom
# total moment	1.003	μB per atom
# ΔE to the lowest computed polymorph	103.2	meV/atom
# calculated total energy	-4.367	eV per atom
data_MnAuCl2
_chemical_formula_sum 'Mn1 Au1 Cl2'
_cell_length_a 5.958
_cell_length_b 5.958
_cell_length_c 5.958
_cell_angle_alpha 147.10
_cell_angle_beta 104.36
_cell_angle_gamma 84.97
_symmetry_space_group_name_H-M 'P 1'
_symmetry_Int_Tables_number 1
loop_
_symmetry_equiv_pos_as_xyz
'x,y,z'
loop_
_atom_site_label
_atom_site_type_symbol
_atom_site_fract_x
_atom_site_fract_y
_atom_site_fract_z
_atom_site_occupancy
Cl1 Cl 0.326 0.826 0.500 1
Cl2 Cl 0.941 0.941 0.000 1
Mn1 Mn 0.509 0.509 0.000 1
Au1 Au 0.724 0.224 0.500 1

=====

# LaTe2Pb | Alexandria | PBE | relaxed
# formation energy without anion corrections	-0.898	eV/atom
# total moment	0.000	μB per atom
# Fermi-level density of states	2.5	states/eV/f.u.
# calculated total energy	-4.628	eV per atom
data_LaTe2Pb
_chemical_formula_sum 'La1 Te2 Pb1'
_cell_length_a 4.039
_cell_length_b 4.039
_cell_length_c 7.669
_cell_angle_alpha 90.00
_cell_angle_beta 90.00
_cell_angle_gamma 90.00
_symmetry_space_group_name_H-M 'P 1'
_symmetry_Int_Tables_number 1
loop_
_symmetry_equiv_pos_as_xyz
'x,y,z'
loop_
_atom_site_label
_atom_site_type_symbol
_atom_site_fract_x
_atom_site_fract_y
_atom_site_fract_z
_atom_site_occupancy
Te1 Te 0.000 0.000 0.486 1
Pb1 Pb 0.500 0.500 0.750 1
Te2 Te 0.000 0.000 0.014 1
La1 La 0.500 0.500 0.250 1

=====

# Li4Hg3F12 | Alexandria | PBE | relaxed
# formation energy without anion corrections	-1.933	eV/atom
# total moment	0.108	μB per atom
# Fermi-level density of states	7.6	states/eV/f.u.
# calculated total energy	-3.566	eV per atom
data_Li4Hg3F12
_chemical_formula_sum 'Li4 Hg3 F12'
_cell_length_a 6.834
_cell_length_b 6.834
_cell_length_c 6.834
_cell_angle_alpha 109.47
_cell_angle_beta 109.47
_cell_angle_gamma 109.47
_symmetry_space_group_name_H-M 'P 1'
_symmetry_Int_Tables_number 1
loop_
_symmetry_equiv_pos_as_xyz
'x,y,z'
loop_
_atom_site_label
_atom_site_type_symbol
_atom_site_fract_x
_atom_site_fract_y
_atom_site_fract_z
_atom_site_occupancy
Li1 Li 0.500 0.000 0.000 1
Li2 Li 0.000 0.500 0.000 1
F1 F 0.510 0.199 0.311 1
Hg1 Hg 0.000 0.500 0.500 1
F2 F 0.490 0.801 0.689 1
F3 F 0.199 0.689 0.887 1
Hg2 Hg 0.500 0.000 0.500 1
Li3 Li 0.000 0.000 0.500 1
F4 F 0.887 0.199 0.689 1
F5 F 0.689 0.887 0.199 1
Hg3 Hg 0.500 0.500 0.000 1
F6 F 0.801 0.689 0.490 1
F7 F 0.113 0.801 0.311 1
F8 F 0.199 0.311 0.510 1
F9 F 0.801 0.311 0.113 1
Li4 Li 0.500 0.500 0.500 1
F10 F 0.311 0.113 0.801 1
F11 F 0.311 0.510 0.199 1
F12 F 0.689 0.490 0.801 1